# CaOs2F

An optimized crystal structure of CaOs2F (PBEsol, Alexandria via LeMat-Bulk).

Results
N(E_F): 6.7 states/eV/f.u.
Energy relative to the elements, uncorrected: 1539 meV/atom

```
data_CaOs2F
_cell_length_a 6.296
_cell_length_b 6.296
_cell_length_c 6.296
_cell_angle_alpha 90.00
_cell_angle_beta 90.00
_cell_angle_gamma 90.00
_space_group_name_H-M_alt 'F m -3 m'
_space_group_IT_number 225
_space_group_name_Hall '-F 4 2 3'
loop_
_atom_site_label
_atom_site_fract_x
_atom_site_fract_y
_atom_site_fract_z
_atom_site_occupancy
Ca1 0.000 0.000 0.000 1
Os1 0.250 0.250 0.250 1
F1 0.000 0.000 0.500 1
```

---

# CaOsF3

An optimized crystal structure of CaOsF3 (PBEsol, Alexandria via LeMat-Bulk).

Results
N(E_F): 4.5 states/eV/f.u.
Energy relative to the elements, uncorrected: -1152 meV/atom

```
data_CaOsF3
_cell_length_a 4.381
_cell_length_b 4.381
_cell_length_c 4.381
_cell_angle_alpha 90.00
_cell_angle_beta 90.00
_cell_angle_gamma 90.00
_space_group_name_H-M_alt 'P m -3 m'
_space_group_IT_number 221
_space_group_name_Hall '-P 4 2 3'
loop_
_atom_site_label
_atom_site_fract_x
_atom_site_fract_y
_atom_site_fract_z
_atom_site_occupancy
Ca1 0.000 0.000 0.000 1
Os1 0.500 0.500 0.500 1
F1 0.000 0.000 0.500 1
```

---

# CaPS2F

An optimized crystal structure of CaPS2F (PBEsol, Alexandria via LeMat-Bulk).

Results
N(E_F): 7.2 states/eV/f.u.
Energy relative to the elements, uncorrected: 618 meV/atom

```
data_CaPS2F
_cell_length_a 5.170
_cell_length_b 5.170
_cell_length_c 5.430
_cell_angle_alpha 90.00
_cell_angle_beta 90.00
_cell_angle_gamma 90.00
_space_group_name_H-M_alt 'P 4/m m m'
_space_group_IT_number 123
_space_group_name_Hall '-P 4 2'
loop_
_atom_site_label
_atom_site_fract_x
_atom_site_fract_y
_atom_site_fract_z
_atom_site_occupancy
Ca1 0.000 0.000 0.000 1
P1 0.000 0.000 0.500 1
S1 0.000 0.500 0.000 1
F1 0.500 0.500 0.500 1
```

---

# CaSi2PF

An optimized crystal structure of CaSi2PF (PBEsol, Alexandria via LeMat-Bulk).

Results
N(E_F): 4.1 states/eV/f.u.
Energy relative to the elements, uncorrected: 311 meV/atom

```
data_CaSi2PF
_cell_length_a 5.371
_cell_length_b 5.371
_cell_length_c 4.001
_cell_angle_alpha 90.00
_cell_angle_beta 90.00
_cell_angle_gamma 90.00
_space_group_name_H-M_alt 'P 4/m m m'
_space_group_IT_number 123
_space_group_name_Hall '-P 4 2'
loop_
_atom_site_label
_atom_site_fract_x
_atom_site_fract_y
_atom_site_fract_z
_atom_site_occupancy
Ca1 0.000 0.000 0.000 1
Si1 0.000 0.500 0.000 1
P1 0.500 0.500 0.500 1
F1 0.000 0.000 0.500 1
```

---

# Ca2PbF2

An optimized crystal structure of Ca2PbF2 (PBEsol, Alexandria via LeMat-Bulk).

Results
N(E_F): 1.4 states/eV/f.u.
Energy relative to the elements, uncorrected: -2588 meV/atom

```
data_Ca2PbF2
_cell_length_a 3.740
_cell_length_b 3.740
_cell_length_c 14.321
_cell_angle_alpha 90.00
_cell_angle_beta 90.00
_cell_angle_gamma 90.00
_space_group_name_H-M_alt 'I 4/m m m'
_space_group_IT_number 139
_space_group_name_Hall '-I 4 2'
loop_
_atom_site_label
_atom_site_fract_x
_atom_site_fract_y
_atom_site_fract_z
_atom_site_occupancy
Ca1 0.000 0.000 0.157 1
Pb1 0.000 0.000 0.500 1
F1 0.000 0.500 0.250 1
```

---

# CaPdF6

An optimized crystal structure of CaPdF6 (PBEsol, Alexandria via LeMat-Bulk).

Results
N(E_F): 0.0 states/eV/f.u.
Energy relative to the elements, uncorrected: -2324 meV/atom

```
data_CaPdF6
_cell_length_a 5.1970
_cell_length_b 5.1970
_cell_length_c 14.5053
_cell_angle_alpha 90.00
_cell_angle_beta 90.00
_cell_angle_gamma 120.00
_space_group_name_H-M_alt 'R -3'
_space_group_IT_number 148
_space_group_name_Hall '-R 3'
loop_
_atom_site_label
_atom_site_fract_x
_atom_site_fract_y
_atom_site_fract_z
_atom_site_occupancy
Ca1 0.0000 0.0000 0.0000 1
Pd1 0.0000 0.0000 0.5000 1
F1 0.0058 0.7048 0.4228 1
```

---

# Ca3PtF

An optimized crystal structure of Ca3PtF (PBEsol, Alexandria via LeMat-Bulk).

Results
N(E_F): 1.4 states/eV/f.u.
Energy relative to the elements, uncorrected: -839 meV/atom

```
data_Ca3PtF
_cell_length_a 5.467
_cell_length_b 5.467
_cell_length_c 5.467
_cell_angle_alpha 90.00
_cell_angle_beta 90.00
_cell_angle_gamma 90.00
_space_group_name_H-M_alt 'P m -3 m'
_space_group_IT_number 221
_space_group_name_Hall '-P 4 2 3'
loop_
_atom_site_label
_atom_site_fract_x
_atom_site_fract_y
_atom_site_fract_z
_atom_site_occupancy
Ca1 0.000 0.000 0.500 1
Pt1 0.000 0.000 0.000 1
F1 0.500 0.500 0.500 1
```

---

# CaPtF2

An optimized crystal structure of CaPtF2 (PBEsol, Alexandria via LeMat-Bulk).

Results
N(E_F): 4.9 states/eV/f.u.
Energy relative to the elements, uncorrected: -1925 meV/atom

```
data_CaPtF2
_cell_length_a 3.1098
_cell_length_b 3.1098
_cell_length_c 26.6388
_cell_angle_alpha 90.00
_cell_angle_beta 90.00
_cell_angle_gamma 120.00
_space_group_name_H-M_alt 'R -3 m'
_space_group_IT_number 166
_space_group_name_Hall '-R 3 2"'
loop_
_atom_site_label
_atom_site_fract_x
_atom_site_fract_y
_atom_site_fract_z
_atom_site_occupancy
Ca1 0.0000 0.0000 0.0000 1
Pt1 0.0000 0.0000 0.5000 1
F1 0.0000 0.0000 0.3782 1
```

---

# RbCaF2

An optimized crystal structure of RbCaF2 (PBEsol, Alexandria via LeMat-Bulk).

Results
N(E_F): 1.1 states/eV/f.u.
Energy relative to the elements, uncorrected: -2715 meV/atom

```
data_RbCaF2
_cell_length_a 3.8433
_cell_length_b 3.8433
_cell_length_c 22.2487
_cell_angle_alpha 90.00
_cell_angle_beta 90.00
_cell_angle_gamma 120.00
_space_group_name_H-M_alt 'R -3 m'
_space_group_IT_number 166
_space_group_name_Hall '-R 3 2"'
loop_
_atom_site_label
_atom_site_fract_x
_atom_site_fract_y
_atom_site_fract_z
_atom_site_occupancy
Rb1 0.0000 0.0000 0.0000 1
Ca1 0.0000 0.0000 0.5000 1
F1 0.0000 0.0000 0.1288 1
```

---

# Rb2CaF2

An optimized crystal structure of Rb2CaF2 (PBEsol, Alexandria via LeMat-Bulk).

Results
N(E_F): 1.2 states/eV/f.u.
Energy relative to the elements, uncorrected: -1717 meV/atom

```
data_Rb2CaF2
_cell_length_a 4.905
_cell_length_b 4.905
_cell_length_c 14.909
_cell_angle_alpha 90.00
_cell_angle_beta 90.00
_cell_angle_gamma 90.00
_space_group_name_H-M_alt 'I 4/m m m'
_space_group_IT_number 139
_space_group_name_Hall '-I 4 2'
loop_
_atom_site_label
_atom_site_fract_x
_atom_site_fract_y
_atom_site_fract_z
_atom_site_occupancy
Rb1 0.000 0.000 0.186 1
Ca1 0.000 0.000 0.500 1
F1 0.000 0.500 0.250 1
```